# 1
# CuIrPd | the Alexandria database | PBE | optimized geometry
# - E_form: 0.13 eV/atom
# - Calculated total energy: -5.921 eV per atom
# - Excess energy over the best structure of this formula in the dataset: 51 meV/atom
data_CuIrPd
_space_group_name_H-M_alt 'I 4 m m'
_space_group_IT_number 107
_space_group_name_Hall 'I 4 -2'
_cell_length_a 2.7263
_cell_length_b 2.7263
_cell_length_c 11.3386
_cell_angle_alpha 90.00
_cell_angle_beta 90.00
_cell_angle_gamma 90.00
loop_
_atom_site_label
_atom_site_type_symbol
_atom_site_fract_x
_atom_site_fract_y
_atom_site_fract_z
Cu1 Cu 0.0000 0.0000 0.0000
Ir1 Ir 0.0000 0.0000 0.3396
Pd1 Pd 0.0000 0.0000 0.6662



# 2
# CuRe2IrPd | the Alexandria database | PBE | optimized geometry
# - E_form: 1.87 eV/atom
# - Calculated total energy: -6.743 eV per atom
data_CuRe2IrPd
_space_group_name_H-M_alt 'P 4/m m m'
_space_group_IT_number 123
_space_group_name_Hall '-P 4 2'
_cell_length_a 4.4097
_cell_length_b 4.4097
_cell_length_c 4.3819
_cell_angle_alpha 90.00
_cell_angle_beta 90.00
_cell_angle_gamma 90.00
loop_
_atom_site_label
_atom_site_type_symbol
_atom_site_fract_x
_atom_site_fract_y
_atom_site_fract_z
Cu1 Cu 0.0000 0.0000 0.0000
Re1 Re 0.0000 0.5000 0.0000
Ir1 Ir 0.5000 0.5000 0.5000
Pd1 Pd 0.0000 0.0000 0.5000



# 3
# Cu2IrPdS | the Alexandria database | PBE | optimized geometry
# - Calculated total energy: -4.031 eV per atom
# - E_form (uncorrected): 6.22 eV per formula unit
data_Cu2IrPdS
_space_group_name_H-M_alt 'P 4/m m m'
_space_group_IT_number 123
_space_group_name_Hall '-P 4 2'
_cell_length_a 4.6354
_cell_length_b 4.6354
_cell_length_c 4.3066
_cell_angle_alpha 90.00
_cell_angle_beta 90.00
_cell_angle_gamma 90.00
loop_
_atom_site_label
_atom_site_type_symbol
_atom_site_fract_x
_atom_site_fract_y
_atom_site_fract_z
Cu1 Cu 0.0000 0.5000 0.0000
Ir1 Ir 0.0000 0.0000 0.5000
Pd1 Pd 0.5000 0.5000 0.0000
S1 S 0.5000 0.5000 0.5000



# 4
# CuSbIrPd | the Alexandria database | PBE | optimized geometry
# - Calculated total energy: -5.656 eV per atom
# - E_form (uncorrected): -0.35 eV per formula unit
data_CuSbIrPd
_space_group_name_H-M_alt 'F -4 3 m'
_space_group_IT_number 216
_space_group_name_Hall 'F -4 2 3'
_cell_length_a 6.3182
_cell_length_b 6.3182
_cell_length_c 6.3182
_cell_angle_alpha 90.00
_cell_angle_beta 90.00
_cell_angle_gamma 90.00
loop_
_atom_site_label
_atom_site_type_symbol
_atom_site_fract_x
_atom_site_fract_y
_atom_site_fract_z
Cu1 Cu 0.0000 0.0000 0.0000
Sb1 Sb 0.0000 0.0000 0.5000
Ir1 Ir 0.2500 0.2500 0.7500
Pd1 Pd 0.2500 0.2500 0.2500